meta-GGA SCAN ReAsPtBr2, single point on PBEsol structure; electronic total energy = -38.760 eV per atom; calculated density = 8.332 g/cm³; SG = P4/mmm (123); formation energy from raw total energies = 1.32 eV per atom; DOS(E_F) = 0.229 states/eV per atom
1.0
4.995 0.000 0.000
0.000 4.995 0.000
0.000 0.000 4.921
Re As Pt Br
1 1 1 2
Direct
0.000 0.000 0.000
0.500 0.500 0.000
0.500 0.500 0.500
0.000 0.500 0.500
0.500 0.000 0.500